# 1
This record from Alexandria describes crystalline Hg2PdSBr at its relaxed geometry. The functional is GGA-PBE.

Geometry as POSCAR:
```
Hg2PdSBr
1.0
5.6698 0.0000 0.0000
0.0000 5.6698 0.0000
0.0000 0.0000 4.8409
Hg Pd S Br
2 1 1 1
Direct
0.0000 0.5000 0.0000 Hg
0.5000 0.0000 0.0000 Hg
0.0000 0.0000 0.5000 Pd
0.5000 0.5000 0.5000 S
0.5000 0.5000 0.0000 Br
```

Results
- Electronic total energy: -0.1007 Ry per atom
- V: 156 Å³ per cell
- Spin magnetization: 0.0 μB/f.u.
- Crystal system: tetragonal

=====

# 2
This record from Alexandria describes crystalline HgPdSe2Br at its relaxed geometry. The functional is GGA-PBE.

Geometry as POSCAR:
```
HgPdSe2Br
1.0
5.0119 0.0000 0.0000
0.0000 5.0119 0.0000
0.0000 0.0000 5.1361
Hg Pd Se Br
1 1 2 1
Direct
0.0000 0.0000 0.0000 Hg
0.5000 0.5000 0.5000 Pd
0.0000 0.5000 0.5000 Se
0.5000 0.0000 0.5000 Se
0.5000 0.5000 0.0000 Br
```

Results
- Electronic total energy: -0.1902 Ry per atom
- V: 129 Å³ per cell
- Spin magnetization: 0.0 μB/f.u.
- Offset from the most stable computed form: 0.0 meV per atom
- Crystal system: tetragonal

=====

# 3
This record from Alexandria describes crystalline TcHg2PdBr at its relaxed geometry. The functional is GGA-PBE.

Geometry as POSCAR:
```
TcHg2PdBr
1.0
5.2372 0.0000 0.0000
0.0000 5.2372 0.0000
0.0000 0.0000 5.1889
Tc Hg Pd Br
1 2 1 1
Direct
0.0000 0.0000 0.0000 Tc
0.0000 0.5000 0.5000 Hg
0.5000 0.0000 0.5000 Hg
0.0000 0.0000 0.5000 Pd
0.5000 0.5000 0.0000 Br
```

Results
- Electronic total energy: -0.2150 Ry per atom
- V: 142 Å³ per cell
- Spin magnetization: 4.4 μB/f.u.
- Crystal system: tetragonal

=====

# 4
This record from Alexandria describes crystalline TlHg2PdBr at its relaxed geometry. The functional is GGA-PBE.

Geometry as POSCAR:
```
TlHg2PdBr
1.0
5.3013 0.0000 0.0000
0.0000 5.3013 0.0000
0.0000 0.0000 5.4624
Tl Hg Pd Br
1 2 1 1
Direct
0.0000 0.0000 0.0000 Tl
0.0000 0.5000 0.5000 Hg
0.5000 0.0000 0.5000 Hg
0.0000 0.0000 0.5000 Pd
0.5000 0.5000 0.0000 Br
```

Results
- Electronic total energy: -0.1631 Ry per atom
- V: 154 Å³ per cell
- Spin magnetization: 0.0 μB/f.u.
- Crystal system: tetragonal

=====

# 5
This record from Alexandria describes crystalline PmHg2Br4 at its relaxed geometry. The functional is GGA-PBE.

Geometry as POSCAR:
```
PmHg2Br4
1.0
-2.8978 2.8978 8.3639
2.8978 -2.8978 8.3639
2.8978 2.8978 -8.3639
Pm Hg Br
1 2 4
Direct
0.0000 0.0000 0.0000 Pm
0.3520 0.3520 0.0000 Hg
0.6480 0.6480 0.0000 Hg
0.0000 0.5000 0.5000 Br
0.1675 0.1675 0.0000 Br
0.5000 0.0000 0.5000 Br
0.8325 0.8325 0.0000 Br
```

Results
- Electronic total energy: -0.1958 Ry per atom
- V: 281 Å³ per cell
- Spin magnetization: 0.0 μB/f.u.
- Crystal system: tetragonal

=====

# 6
This record from Alexandria describes crystalline Pm4HgBr5 at its relaxed geometry. The functional is GGA-PBE.

Geometry as POSCAR:
```
Pm4HgBr5
1.0
9.2710 -2.0545 0.0000
9.2710 2.0545 0.0000
-1.8122 0.0000 8.7543
Pm Hg Br
4 1 5
Direct
0.0029 0.0029 0.2423 Pm
0.3364 0.3364 0.9261 Pm
0.6636 0.6636 0.0739 Pm
0.9971 0.9971 0.7577 Pm
0.5000 0.5000 0.0000 Hg
0.1681 0.1681 0.3215 Br
0.1690 0.1690 0.8247 Br
0.5000 0.5000 0.5000 Br
0.8310 0.8310 0.1753 Br
0.8319 0.8319 0.6785 Br
```

Results
- Electronic total energy: -0.3011 Ry per atom
- V: 333 Å³ per cell
- Spin magnetization: 0.0 μB/f.u.
- Crystal system: monoclinic

=====

# 7
This record from Alexandria describes crystalline PmHgBr5 at its relaxed geometry. The functional is GGA-PBE.

Geometry as POSCAR:
```
PmHgBr5
1.0
4.6853 -5.8916 0.0000
4.6853 5.8916 0.0000
-1.2406 0.0000 8.7011
Pm Hg Br
2 2 10
Direct
0.0646 0.9354 0.7500 Pm
0.9354 0.0646 0.2500 Pm
0.5000 0.5000 0.0000 Hg
0.5000 0.5000 0.5000 Hg
0.0304 0.7827 0.0487 Br
0.1997 0.4406 0.3252 Br
0.2173 0.9696 0.4513 Br
0.3163 0.6837 0.7500 Br
0.4406 0.1997 0.8252 Br
0.5594 0.8003 0.1748 Br
0.6837 0.3163 0.2500 Br
0.7827 0.0304 0.5487 Br
0.8003 0.5594 0.6748 Br
0.9696 0.2173 0.9513 Br
```

Results
- Electronic total energy: -0.2290 Ry per atom
- V: 480 Å³ per cell
- Spin magnetization: 0.0 μB/f.u.
- Crystal system: monoclinic

=====

# 8
This record from Alexandria describes crystalline PmHg2Br6 at its relaxed geometry. The functional is GGA-PBE.

Geometry as POSCAR:
```
PmHg2Br6
1.0
3.8160 2.2032 7.1521
-3.8160 2.2032 7.1521
0.0000 -4.4064 7.1521
Pm Hg Br
1 2 6
Direct
0.0000 0.0000 0.0000 Pm
0.2668 0.2668 0.2668 Hg
0.3999 0.3999 0.3999 Hg
0.0863 0.3819 0.7891 Br
0.2219 0.9092 0.6207 Br
0.3819 0.7891 0.0863 Br
0.6207 0.2219 0.9092 Br
0.7891 0.0863 0.3819 Br
0.9092 0.6207 0.2219 Br
```

Results
- Electronic total energy: -0.1952 Ry per atom
- V: 361 Å³ per cell
- Spin magnetization: 0.0 μB/f.u.
- Crystal system: trigonal

=====

# 9
This record from Alexandria describes crystalline Pm7HgBr12 at its relaxed geometry. The functional is GGA-PBE.

Geometry as POSCAR:
```
Pm7HgBr12
1.0
7.8145 4.5117 3.1986
-7.8145 4.5117 3.1986
0.0000 -9.0234 3.1986
Pm Hg Br
7 1 12
Direct
0.0000 0.0000 0.0000 Pm
0.1470 0.3629 0.4410 Pm
0.3629 0.4410 0.1470 Pm
0.4410 0.1470 0.3629 Pm
0.5590 0.8530 0.6371 Pm
0.6371 0.5590 0.8530 Pm
0.8530 0.6371 0.5590 Pm
0.5000 0.5000 0.5000 Hg
0.0151 0.3414 0.1022 Br
0.1022 0.0151 0.3414 Br
0.1978 0.7176 0.5757 Br
0.2824 0.4243 0.8022 Br
0.3414 0.1022 0.0151 Br
0.4243 0.8022 0.2824 Br
0.5757 0.1978 0.7176 Br
0.6586 0.8978 0.9849 Br
0.7176 0.5757 0.1978 Br
0.8022 0.2824 0.4243 Br
0.8978 0.9849 0.6586 Br
0.9849 0.6586 0.8978 Br
```

Results
- Electronic total energy: -0.3108 Ry per atom
- V: 677 Å³ per cell
- Spin magnetization: 1.9 μB/f.u.
- Crystal system: trigonal

=====

# 10
This record from Alexandria describes crystalline PmHg2Br8 at its relaxed geometry. The functional is GGA-PBE.

Geometry as POSCAR:
```
PmHg2Br8
1.0
7.1426 -4.6130 0.0000
7.1426 4.6130 0.0000
-1.5163 0.0000 6.7115
Pm Hg Br
1 2 8
Direct
0.0000 0.0000 0.0000 Pm
0.1980 0.1980 0.6922 Hg
0.8020 0.8020 0.3078 Hg
0.1314 0.7010 0.2209 Br
0.1808 0.1808 0.2877 Br
0.2990 0.8686 0.7791 Br
0.3787 0.3787 0.8306 Br
0.6213 0.6213 0.1694 Br
0.7010 0.1314 0.2209 Br
0.8192 0.8192 0.7123 Br
0.8686 0.2990 0.7791 Br
```

Results
- Electronic total energy: -0.1845 Ry per atom
- V: 442 Å³ per cell
- Spin magnetization: 0.8 μB/f.u.
- Crystal system: monoclinic

=====

# 11
This record from Alexandria describes crystalline PmHgBr6 at its relaxed geometry. The functional is GGA-PBE.

Geometry as POSCAR:
```
PmHgBr6
1.0
7.1407 0.0000 0.0000
0.2960 7.2170 0.0000
2.8611 3.3681 5.8772
Pm Hg Br
1 1 6
Direct
0.0000 0.0000 0.0000 Pm
0.5000 0.5000 0.0000 Hg
0.0468 0.1740 0.5353 Br
0.2391 0.3993 0.8087 Br
0.4131 0.8769 0.8549 Br
0.5869 0.1231 0.1451 Br
0.7609 0.6007 0.1913 Br
0.9532 0.8260 0.4647 Br
```

Results
- Electronic total energy: -0.2081 Ry per atom
- V: 303 Å³ per cell
- Spin magnetization: 1.0 μB/f.u.
- Crystal system: triclinic

=====

# 12
This record from Alexandria describes crystalline Pm6HgBr8 at its relaxed geometry. The functional is GGA-PBE.

Geometry as POSCAR:
```
Pm6HgBr8
1.0
3.5973 2.0769 11.0083
-3.5973 2.0769 11.0083
0.0000 -4.1538 11.0083
Pm Hg Br
6 1 8
Direct
0.1128 0.7799 0.4458 Pm
0.2201 0.5541 0.8872 Pm
0.4458 0.1128 0.7799 Pm
0.5542 0.8872 0.2201 Pm
0.7799 0.4459 0.1128 Pm
0.8872 0.2201 0.5542 Pm
0.5000 0.5000 0.5000 Hg
0.0628 0.3912 0.7186 Br
0.1668 0.1668 0.1668 Br
0.2814 0.9372 0.6088 Br
0.3912 0.7186 0.0628 Br
0.6088 0.2814 0.9372 Br
0.7186 0.0628 0.3912 Br
0.8332 0.8332 0.8332 Br
0.9372 0.6088 0.2814 Br
```

Results
- Electronic total energy: -0.3063 Ry per atom
- V: 493 Å³ per cell
- Spin magnetization: 0.0 μB/f.u.
- Crystal system: trigonal

=====

# 13
This record from Alexandria describes crystalline PmPrHgBr at its relaxed geometry. The functional is GGA-PBE.

Geometry as POSCAR:
```
PmPrHgBr
1.0
0.0000 3.8248 3.8248
3.8248 0.0000 3.8248
3.8248 3.8248 0.0000
Pm Pr Hg Br
1 1 1 1
Direct
0.0000 0.0000 0.0000 Pm
0.5000 0.5000 0.5000 Pr
0.7500 0.7500 0.7500 Hg
0.2500 0.2500 0.2500 Br
```

Results
- Electronic total energy: -0.2573 Ry per atom
- V: 112 Å³ per cell
- Spin magnetization: 0.0 μB/f.u.
- Crystal system: cubic

=====

# 14
This record from Alexandria describes crystalline RbPmHgBr6 at its relaxed geometry. The functional is GGA-PBE.

Geometry as POSCAR:
```
RbPmHgBr6
1.0
7.4737 0.0000 0.0000
-3.7368 6.4724 0.0000
0.0000 0.0000 15.2074
Rb Pm Hg Br
2 2 2 12
Direct
0.0000 0.0000 0.0000 Rb
0.0000 0.0000 0.5000 Rb
0.3333 0.6667 0.2500 Pm
0.6667 0.3333 0.7500 Pm
0.3333 0.6667 0.7500 Hg
0.6667 0.3333 0.2500 Hg
0.0022 0.3795 0.6392 Br
0.0022 0.6228 0.8608 Br
0.3772 0.3795 0.8608 Br
0.3772 0.9978 0.6392 Br
0.3795 0.0022 0.1392 Br
0.3795 0.3772 0.3608 Br
0.6205 0.6228 0.6392 Br
0.6205 0.9978 0.8608 Br
0.6228 0.0022 0.3608 Br
0.6228 0.6205 0.1392 Br
0.9978 0.3772 0.1392 Br
0.9978 0.6205 0.3608 Br
```

Results
- Electronic total energy: -0.2317 Ry per atom
- V: 736 Å³ per cell
- Spin magnetization: 0.0 μB/f.u.
- Crystal system: trigonal

=====

# 15
This record from Alexandria describes crystalline PmTlHgBr6 at its relaxed geometry. The functional is GGA-PBE.

Geometry as POSCAR:
```
PmTlHgBr6
1.0
7.4280 0.0000 0.0000
-3.7140 6.4328 0.0000
0.0000 0.0000 14.5652
Pm Tl Hg Br
2 2 2 12
Direct
0.3333 0.6667 0.2500 Pm
0.6667 0.3333 0.7500 Pm
0.0000 0.0000 0.0000 Tl
0.0000 0.0000 0.5000 Tl
0.3333 0.6667 0.7500 Hg
0.6667 0.3333 0.2500 Hg
0.0027 0.3713 0.6354 Br
0.0027 0.6314 0.8646 Br
0.3686 0.3713 0.8646 Br
0.3686 0.9973 0.6354 Br
0.3713 0.0027 0.1354 Br
0.3713 0.3686 0.3646 Br
0.6287 0.6314 0.6354 Br
0.6287 0.9973 0.8646 Br
0.6314 0.0027 0.3646 Br
0.6314 0.6287 0.1354 Br
0.9973 0.3686 0.1354 Br
0.9973 0.6287 0.3646 Br
```

Results
- Electronic total energy: -0.2277 Ry per atom
- V: 696 Å³ per cell
- Spin magnetization: 0.0 μB/f.u.
- Crystal system: trigonal

=====

# 16
This record from Alexandria describes crystalline Pr2HgBr at its relaxed geometry. The functional is GGA-PBE.

Geometry as POSCAR:
```
Pr2HgBr
1.0
2.1984 1.2693 7.3295
-2.1984 1.2693 7.3295
0.0000 -2.5385 7.3295
Pr Hg Br
2 1 1
Direct
0.2503 0.2503 0.2503 Pr
0.7497 0.7497 0.7497 Pr
0.5000 0.5000 0.5000 Hg
0.0000 0.0000 0.0000 Br
```

Results
- Electronic total energy: -0.2696 Ry per atom
- V: 123 Å³ per cell
- Spin magnetization: 0.0 μB/f.u.
- Offset from the most stable computed form: 0.0 meV per atom
- Crystal system: trigonal

=====

# 17
This record from Alexandria describes crystalline PrHg2Br at its relaxed geometry. The functional is GGA-PBE.

Geometry as POSCAR:
```
PrHg2Br
1.0
1.8977 1.0957 10.7028
-1.8977 1.0957 10.7028
0.0000 -2.1913 10.7028
Pr Hg Br
1 2 1
Direct
0.0000 0.0000 0.0000 Pr
0.0971 0.0971 0.0971 Hg
0.9029 0.9029 0.9029 Hg
0.5000 0.5000 0.5000 Br
```

Results
- Electronic total energy: -0.1402 Ry per atom
- V: 134 Å³ per cell
- Spin magnetization: 0.0 μB/f.u.
- Crystal system: trigonal

=====

# 18
This record from Alexandria describes crystalline Pr7HgBr12 at its relaxed geometry. The functional is GGA-PBE.

Geometry as POSCAR:
```
Pr7HgBr12
1.0
7.9823 4.6086 3.2007
-7.9823 4.6086 3.2007
0.0000 -9.2172 3.2007
Pr Hg Br
7 1 12
Direct
0.0000 0.0000 0.0000 Pr
0.1441 0.4394 0.3590 Pr
0.3590 0.1441 0.4394 Pr
0.4394 0.3590 0.1441 Pr
0.5606 0.6410 0.8559 Pr
0.6410 0.8559 0.5606 Pr
0.8559 0.5606 0.6410 Pr
0.5000 0.5000 0.5000 Hg
0.0135 0.1027 0.3411 Br
0.1027 0.3411 0.0135 Br
0.1992 0.5762 0.7154 Br
0.2846 0.8008 0.4238 Br
0.3411 0.0135 0.1027 Br
0.4238 0.2846 0.8008 Br
0.5762 0.7154 0.1992 Br
0.6589 0.9865 0.8973 Br
0.7154 0.1992 0.5762 Br
0.8008 0.4238 0.2846 Br
0.8973 0.6589 0.9865 Br
0.9865 0.8973 0.6589 Br
```

Results
- Electronic total energy: -0.3126 Ry per atom
- V: 706 Å³ per cell
- Spin magnetization: 2.1 μB/f.u.
- Crystal system: trigonal

=====

# 19
This record from Alexandria describes crystalline Pr2HgBr at its relaxed geometry. The functional is GGA-PBE.

Geometry as POSCAR:
```
Pr2HgBr
1.0
1.9538 1.1280 9.1591
-1.9538 1.1280 9.1591
0.0000 -2.2561 9.1591
Pr Hg Br
2 1 1
Direct
0.0000 0.0000 0.0000 Pr
0.1674 0.1674 0.1674 Pr
0.7496 0.7496 0.7496 Hg
0.5838 0.5838 0.5838 Br
```

Results
- Electronic total energy: -0.2654 Ry per atom
- V: 121 Å³ per cell
- Spin magnetization: 0.0 μB/f.u.
- Offset from the most stable computed form: 57.0 meV per atom
- Crystal system: trigonal

=====

# 20
This record from Alexandria describes crystalline Pr2HgBr at its relaxed geometry. The functional is GGA-PBE.

Geometry as POSCAR:
```
Pr2HgBr
1.0
3.6097 0.0000 0.0000
0.0000 3.6097 0.0000
0.0000 0.0000 8.6142
Pr Hg Br
2 1 1
Direct
0.0000 0.0000 0.2421 Pr
0.0000 0.0000 0.7579 Pr
0.5000 0.5000 0.0000 Hg
0.5000 0.5000 0.5000 Br
```

Results
- Electronic total energy: -0.2672 Ry per atom
- V: 112 Å³ per cell
- Spin magnetization: 0.0 μB/f.u.
- Offset from the most stable computed form: 31.6 meV per atom
- Crystal system: tetragonal

=====

# 21
This record from Alexandria describes crystalline PrHgBr2 at its relaxed geometry. The functional is GGA-PBE.

Geometry as POSCAR:
```
PrHgBr2
1.0
2.0079 1.1593 11.9769
-2.0079 1.1593 11.9769
0.0000 -2.3185 11.9769
Pr Hg Br
1 1 2
Direct
0.0000 0.0000 0.0000 Pr
0.5000 0.5000 0.5000 Hg
0.3868 0.3868 0.3868 Br
0.6132 0.6132 0.6132 Br
```

Results
- Electronic total energy: -0.2443 Ry per atom
- V: 167 Å³ per cell
- Spin magnetization: 0.0 μB/f.u.
- Crystal system: trigonal

=====

# 22
This record from Alexandria describes crystalline Pr6HgPt2Br3 at its relaxed geometry. The functional is GGA-PBE.

Geometry as POSCAR:
```
Pr6HgPt2Br3
1.0
9.9367 -2.1192 0.0000
9.9367 2.1192 0.0000
-2.7529 0.0000 8.7865
Pr Hg Pt Br
6 1 2 3
Direct
0.0138 0.0138 0.2572 Pr
0.3202 0.3202 0.4404 Pr
0.3376 0.3376 0.8846 Pr
0.6624 0.6624 0.1154 Pr
0.6798 0.6798 0.5596 Pr
0.9862 0.9862 0.7428 Pr
0.5000 0.5000 0.0000 Hg
0.1666 0.1666 0.3353 Pt
0.8334 0.8334 0.6647 Pt
0.1641 0.1641 0.8352 Br
0.5000 0.5000 0.5000 Br
0.8359 0.8359 0.1648 Br
```

Results
- Electronic total energy: -0.3609 Ry per atom
- V: 370 Å³ per cell
- Spin magnetization: 0.0 μB/f.u.
- Crystal system: monoclinic

=====

# 23
This record from Alexandria describes crystalline Pr8HgRh3Br4 at its relaxed geometry. The functional is GGA-PBE.

Geometry as POSCAR:
```
Pr8HgRh3Br4
1.0
7.3553 -4.2479 0.0000
7.3553 4.2479 0.0000
-4.9088 0.0000 7.8218
Pr Hg Rh Br
8 1 3 4
Direct
0.2133 0.7438 0.7003 Pr
0.2337 0.2337 0.7005 Pr
0.2563 0.2563 0.2997 Pr
0.2562 0.7867 0.2997 Pr
0.7438 0.2133 0.7003 Pr
0.7437 0.7437 0.7003 Pr
0.7663 0.7663 0.2995 Pr
0.7867 0.2562 0.2997 Pr
0.5000 0.5000 0.5000 Hg
0.0000 0.0000 0.5000 Rh
0.0000 0.5000 0.5000 Rh
0.5000 0.0000 0.5000 Rh
0.0000 0.0000 0.0000 Br
0.0000 0.5000 0.0000 Br
0.5000 0.0000 0.0000 Br
0.5000 0.5000 0.0000 Br
```

Results
- Electronic total energy: -0.3802 Ry per atom
- V: 489 Å³ per cell
- Spin magnetization: 0.0 μB/f.u.
- Crystal system: monoclinic